A plane-wave DFT calculation with PBE was carried out for a geometry-optimized Cu6SiAu structure. Values from VASP.

Summary:
Formation energy from raw total energies in eV/atom: -0.019
Polymorph energy (0 for the lowest one) in meV per atom: 0
Total energy in eV per cell: -66.86
Calculated volume in A^3/atom: 12.9

```
&SYSTEM
  ibrav = 0, nat = 16, ntyp = 3
/
ATOMIC_SPECIES
Cu 63.55 Cu.upf
Si 28.09 Si.upf
Au 196.97 Au.upf
ATOMIC_POSITIONS angstrom
Cu 0.000 0.000 0.000
Cu 0.000 1.267 2.198
Cu 0.000 1.365 6.765
Cu 0.000 2.632 4.567
Cu 0.000 3.899 6.765
Cu 0.000 3.997 2.198
Cu 2.144 0.000 3.011
Cu 2.144 1.302 5.267
Cu 2.144 1.330 0.700
Cu 2.144 2.632 7.579
Cu 2.144 3.933 0.700
Cu 2.144 3.962 5.267
Si 0.000 0.000 4.512
Si 0.000 2.632 9.079
Au 2.144 0.000 7.558
Au 2.144 2.632 2.991
CELL_PARAMETERS angstrom
4.287 0.000 0.000
0.000 5.263 0.000
0.000 0.000 9.134
```

A plane-wave DFT calculation with PBE was carried out for a geometry-optimized Cu6SiAu12 structure. Values from VASP.

Summary:
Formation energy from raw total energies in eV/atom: 0.126
Total energy in eV per cell: -66.93
Calculated volume in A^3/atom: 17.6

```
&SYSTEM
  ibrav = 0, nat = 19, ntyp = 3
/
ATOMIC_SPECIES
Cu 63.55 Cu.upf
Si 28.09 Si.upf
Au 196.97 Au.upf
ATOMIC_POSITIONS angstrom
Cu -0.985 -1.068 1.920
Cu -0.432 1.387 1.920
Cu 1.417 -0.319 1.920
Cu -1.417 0.319 7.669
Cu 0.432 -1.387 7.669
Cu 0.985 1.068 7.669
Si 0.000 0.000 4.795
Au -0.683 -3.808 2.658
Au -2.956 2.495 2.658
Au -1.837 -1.806 4.275
Au -3.639 -1.312 6.931
Au -2.483 0.688 5.315
Au 0.646 -2.494 5.315
Au -0.646 2.494 4.275
Au 2.483 -0.688 4.275
Au 3.639 1.312 2.658
Au 1.837 1.806 5.315
Au 2.956 -2.495 6.931
Au 0.683 3.808 6.931
CELL_PARAMETERS angstrom
5.503 3.177 3.196
-5.503 3.177 3.196
0.000 -6.355 3.196
```

A plane-wave DFT calculation with PBE was carried out for a geometry-optimized CuSi2Au structure. Values from VASP.

Summary:
Formation energy from raw total energies in eV/atom: 0.315
Polymorph energy (0 for the lowest one) in meV per atom: 298
Total energy in eV per cell: -16.96
Calculated volume in A^3/atom: 15.3

```
&SYSTEM
  ibrav = 0, nat = 4, ntyp = 3
/
ATOMIC_SPECIES
Cu 63.55 Cu.upf
Si 28.09 Si.upf
Au 196.97 Au.upf
ATOMIC_POSITIONS angstrom
Cu 0.000 0.000 0.000
Si 0.000 2.294 2.345
Si 1.425 0.000 2.345
Au 1.425 2.294 0.000
CELL_PARAMETERS angstrom
2.849 0.000 0.000
0.000 4.588 0.000
0.000 0.000 4.690
```